First-principles (SCAN) data for a crystal of KAgTe2Rh relaxed with PBEsol, as listed in Alexandria via LeMat-Bulk.

Calculated values
The density of states at the Fermi level comes out at 2.6 states/eV/f.u. As for the space group: P4/mmm. As for the uncorrected formation energy: 1499 meV/atom.

Cell lengths 4.971, 5.730, 5.730 Å; angles 90.00, 90.00, 90.00 degrees
Atoms (fractional coordinates):
Te1 0.000 0.000 0.500
Te2 0.000 0.500 0.000
Rh1 0.500 0.500 0.500
K1 0.000 0.000 0.000
Ag1 0.500 0.000 0.000